# PBE-GGA Cs2ScTlI6, optimized geometry
data_Cs2ScTlI6
_symmetry_space_group_name_H-M 'P m m n'
_symmetry_Int_Tables_number 59
_cell_length_a 8.636
_cell_length_b 12.557
_cell_length_c 9.227
_cell_angle_alpha 90.00
_cell_angle_beta 90.00
_cell_angle_gamma 90.00
loop_
_symmetry_equiv_pos_as_xyz
'x,y,z'
'-x,-y,-z'
'-x+1/2,-y+1/2,z'
'x+1/2,y+1/2,-z'
'x+1/2,-y,-z'
'-x+1/2,y,z'
'-x,y+1/2,-z'
'x,-y+1/2,z'
loop_
_atom_site_label
_atom_site_type_symbol
_atom_site_fract_x
_atom_site_fract_y
_atom_site_fract_z
Cs1 Cs 0.250 0.020 0.213
Sc1 Sc 0.250 0.750 0.775
Tl1 Tl 0.250 0.250 0.720
I1 I 0.009 0.750 0.558
I2 I 0.015 0.750 0.003
I3 I 0.250 0.519 0.777
# formation energy without anion corrections: -1.250 eV/atom